# 1
Density functional theory data (PBE) for AcSbTePb after structural relaxation.

a = 5.709 Å, b = 5.709 Å, c = 5.709 Å
α = 60.00°, β = 60.00°, γ = 60.00°
Atoms (fractional coordinates):
Ac1 0.000 0.000 0.000
Sb1 0.750 0.750 0.750
Te1 0.250 0.250 0.250
Pb1 0.500 0.500 0.500

Output
Crystal system: cubic
DOS(E_F), states/eV per atom: 0.1265
Formation energy (no corrections), meV/atom: -702
Uncorrected energy, eV/atom: -4.47

***

# 2
Density functional theory data (PBE) for AcTlSbPb after structural relaxation.

a = 5.687 Å, b = 5.687 Å, c = 5.687 Å
α = 60.00°, β = 60.00°, γ = 60.00°
Atoms (fractional coordinates):
Ac1 0.000 0.000 0.000
Tl1 0.750 0.750 0.750
Sb1 0.250 0.250 0.250
Pb1 0.500 0.500 0.500

Output
Crystal system: cubic
DOS(E_F), states/eV per atom: 0.8886
Formation energy (no corrections), meV/atom: -346
Uncorrected energy, eV/atom: -3.92

***

# 3
Density functional theory data (PBE) for AcScPb2 after structural relaxation.

a = 10.414 Å, b = 10.414 Å, c = 10.414 Å
α = 20.74°, β = 20.74°, γ = 20.74°
Atoms (fractional coordinates):
Ac1 0.000 0.000 0.000
Sc1 0.500 0.500 0.500
Pb1 0.240 0.240 0.240
Pb2 0.760 0.760 0.760

Output
Energy of formation, kJ/mol of formula units: -103
Crystal system: trigonal
DOS(E_F), states/eV per atom: 0.6226
Uncorrected energy, eV/atom: -4.73

***

# 4
Density functional theory data (PBE) for Ac4ScPb2 after structural relaxation.

a = 7.188 Å, b = 8.440 Å, c = 10.392 Å
α = 74.67°, β = 71.02°, γ = 65.20°
Atoms (fractional coordinates):
Ac1 0.013 0.209 0.262
Ac2 0.022 0.263 0.637
Ac3 0.434 0.231 0.861
Ac4 0.478 0.738 0.789
Ac5 0.522 0.262 0.211
Ac6 0.566 0.769 0.139
Ac7 0.978 0.737 0.363
Ac8 0.987 0.791 0.738
Sc1 0.381 0.898 0.455
Sc2 0.619 0.102 0.545
Pb1 0.000 0.000 0.000
Pb2 0.135 0.575 0.061
Pb3 0.500 0.500 0.500
Pb4 0.865 0.425 0.939

Output
Energy of formation, kJ/mol of formula units: -121
Crystal system: triclinic
DOS(E_F), states/eV per atom: 1.2415
Uncorrected energy, eV/atom: -4.49

***

What did the third record say?
Density functional theory data (PBE) for AcScPb2 after structural relaxation.

a = 10.414 Å, b = 10.414 Å, c = 10.414 Å
α = 20.74°, β = 20.74°, γ = 20.74°
Atoms (fractional coordinates):
Ac1 0.000 0.000 0.000
Sc1 0.500 0.500 0.500
Pb1 0.240 0.240 0.240
Pb2 0.760 0.760 0.760

Output
Energy of formation, kJ/mol of formula units: -103
Crystal system: trigonal
DOS(E_F), states/eV per atom: 0.6226
Uncorrected energy, eV/atom: -4.73